Entry 1:
First-principles (PBE) data for an optimized crystal structure of Cs2BaPO4, as listed in Alexandria.

Values from the calculation:
space group = Fddd (70)
density of states at the Fermi level = 3.29 states/eV per cell
uncorrected energy = -5.575 eV/atom
ΔE_f (raw) = -1966 meV/atom

Cell: 6.3998 7.0638 14.4003 Å, 84.22 77.16 63.06°
Closest atoms and distances in Å follow each position.
Fractional coordinates of all 16 atoms:
O 0.5403 0.1467 0.0620  1 P 1.57
O 0.0010 0.6467 0.5620  1 P 1.57
O 0.4370 0.3533 0.5620  1 P 1.57
Cs 0.1867 0.0000 0.6267  4 O 3.49-3.52
P 0.2500 0.5000 0.5000  4 O 1.57
P 0.5000 0.0000 0.0000  4 O 1.57
Cs 0.5633 0.5000 0.8733  4 O 3.49-3.52
O 0.3130 0.1467 0.9380  1 P 1.57
Ba 0.0000 0.0000 0.0000  4 O 2.60
O 0.3522 0.6467 0.4380  1 P 1.57
O 0.3978 0.8533 0.0620  1 P 1.57
O 0.2097 0.3533 0.4380  1 P 1.57
O 0.7490 0.8533 0.9380  1 P 1.57
Cs 0.9367 0.5000 0.1267  4 O 3.49-3.52
Cs 0.8133 0.0000 0.3733  4 O 3.49-3.52
Ba 0.7500 0.5000 0.5000  4 O 2.60

Entry 2:
First-principles (PBE) data for an optimized crystal structure of CsBaPa2O7, as listed in Alexandria.

Values from the calculation:
space group = I-4m2 (119)
density of states at the Fermi level = 10.29 states/eV per cell
uncorrected energy = -8.145 eV/atom
ΔE_f (raw) = -3011 meV/atom

Cell: 4.4028 4.4028 12.7378 Å, 99.95 99.95 90.00°
Closest atoms and distances in Å follow each position.
Fractional coordinates of all 11 atoms:
O 0.1707 0.1707 0.3413  1 Pa 1.98
Pa 0.0906 0.0906 0.1812  1 O 1.98
Cs 0.2500 0.7500 0.5000  4 O 2.95
Ba 0.5000 0.5000 0.0000  12 O 2.92-3.11
O 0.9225 0.4225 0.8449  2 Pa 2.22
O 0.0787 0.5787 0.1574  2 Pa 2.22
O 0.0000 0.0000 0.0000  2 Pa 2.24
O 0.8293 0.8293 0.6587  1 Pa 1.98
O 0.5775 0.0775 0.1551  2 Pa 2.22
O 0.4213 0.9213 0.8426  2 Pa 2.22
Pa 0.9094 0.9094 0.8188  1 O 1.98

Entry 3:
First-principles (PBE) data for an optimized crystal structure of Cs3Ba2PaO6, as listed in Alexandria.

Values from the calculation:
space group = C2/m (12)
density of states at the Fermi level = 0.00 states/eV per cell
uncorrected energy = -6.272 eV/atom
ΔE_f (raw) = -2468 meV/atom

Cell: 6.7685 6.7685 7.2641 Å, 98.84 98.84 119.97°
Closest atoms and distances in Å follow each position.
Fractional coordinates of all 12 atoms:
Cs 0.5000 0.5000 0.5000  4 O 3.07
Cs 0.8348 0.1652 0.5000  4 O 3.03-3.06
O 0.3337 0.0588 0.1750  1 Pa 2.22
O 0.7837 0.7837 0.1799  1 Pa 2.24
Cs 0.1652 0.8348 0.5000  4 O 3.03-3.06
Pa 0.0000 0.0000 0.0000  6 O 2.22-2.24
Ba 0.6667 0.3333 0.0000  6 O 2.75-2.77
O 0.9412 0.6663 0.8250  1 Pa 2.22
O 0.6663 0.9412 0.8250  1 Pa 2.22
O 0.0588 0.3337 0.1750  1 Pa 2.22
O 0.2163 0.2163 0.8201  1 Pa 2.24
Ba 0.3333 0.6667 0.0000  6 O 2.75-2.77